Te3W: relaxed, PBE-GGA.

Cell lengths 5.0419, 5.0419, 7.1899 Å; angles 90.00, 90.00, 90.00 degrees
Atoms (fractional coordinates):
Te  0.0000  0.0000  0.0000
Te  0.0000  0.5000  0.2500
Te  0.0000  0.5000  0.7500
Te  0.5000  0.0000  0.2500
Te  0.5000  0.0000  0.7500
Te  0.5000  0.5000  0.5000
W  0.0000  0.0000  0.5000
W  0.5000  0.5000  0.0000

Output
Relative energy among the computed polymorphs: 72.9 kJ per mole of atoms
Energy relative to the elements, uncorrected: 865 meV/atom
Magnetic moment: 0.0 μB/f.u.
Symmetry: No. 139